Density functional theory data (PBE+U) for an optimized crystal structure of Li2CoBO4.

a b c (Å): 5.039 5.039 6.042
angles (deg): 90.00 90.00 91.86
Fractional coordinates of all 16 atoms:
1 Li 0.193 0.807 0.750
2 Li 0.327 0.327 0.000
3 Li 0.673 0.673 0.500
4 Li 0.807 0.193 0.250
5 Co 0.183 0.817 0.250
6 Co 0.817 0.183 0.750
7 B 0.314 0.314 0.500
8 B 0.686 0.686 0.000
9 O 0.187 0.205 0.705
10 O 0.205 0.187 0.295
11 O 0.277 0.608 0.489
12 O 0.392 0.723 0.011
13 O 0.608 0.277 0.511
14 O 0.723 0.392 0.989
15 O 0.795 0.813 0.795
16 O 0.813 0.795 0.205

ΔE to the lowest computed polymorph ... 0.00 kJ per mole of atoms
Mass density ... 3.20 Mg/m³
Electronic total energy ... -100.70 eV/cell
Total magnetic moment ... 8.0 μB/cell

Density functional theory data (PBE+U) for an optimized crystal structure of Li5Co4B4O12.

a b c (Å): 5.038 5.067 11.848
angles (deg): 86.21 86.30 60.62
Fractional coordinates of all 25 atoms:
1 Li 0.000 0.000 0.000
2 Li 0.001 0.033 0.451
3 Li 0.020 0.353 0.614
4 Li 0.023 0.034 0.813
5 Li 0.066 0.308 0.156
6 Co 0.352 0.380 0.378
7 Co 0.376 0.653 0.623
8 Co 0.676 0.679 0.939
9 Co 0.702 0.917 0.203
10 B 0.348 0.346 0.908
11 B 0.385 0.643 0.161
12 B 0.689 0.991 0.657
13 B 0.692 0.697 0.422
14 O 0.088 0.311 0.916
15 O 0.119 0.914 0.154
16 O 0.314 0.638 0.904
17 O 0.382 0.386 0.210
18 O 0.413 0.700 0.446
19 O 0.417 0.255 0.646
20 O 0.638 0.090 0.909
21 O 0.662 0.617 0.115
22 O 0.700 0.714 0.673
23 O 0.700 0.962 0.393
24 O 0.960 0.426 0.440
25 O 0.963 0.003 0.650

Mass density ... 3.19 Mg/m³
Electronic total energy ... -162.74 eV/cell
Total magnetic moment ... 1.0 μB/cell

Density functional theory data (PBE+U) for an optimized crystal structure of Li2CoBO4.

a b c (Å): 5.021 5.021 6.134
angles (deg): 91.08 91.08 91.57
Fractional coordinates of all 16 atoms:
1 Li 0.178 0.822 0.000
2 Li 0.323 0.323 0.217
3 Li 0.677 0.677 0.783
4 Li 0.822 0.178 0.000
5 Co 0.199 0.801 0.500
6 Co 0.801 0.199 0.500
7 B 0.311 0.311 0.749
8 B 0.689 0.689 0.251
9 O 0.192 0.192 0.529
10 O 0.200 0.200 0.933
11 O 0.275 0.612 0.741
12 O 0.388 0.725 0.259
13 O 0.612 0.275 0.741
14 O 0.725 0.388 0.259
15 O 0.800 0.800 0.067
16 O 0.808 0.808 0.471

ΔE to the lowest computed polymorph ... 4.48 kJ per mole of atoms
Mass density ... 3.17 Mg/m³
Electronic total energy ... -99.96 eV/cell
Total magnetic moment ... 8.0 μB/cell

Density functional theory data (PBE+U) for an optimized crystal structure of LiCo2B2O6.

a b c (Å): 5.135 5.217 5.817
angles (deg): 66.14 64.85 60.61
Fractional coordinates of all 11 atoms:
1 Li 0.000 0.000 0.000
2 Co 0.364 0.333 0.927
3 Co 0.836 0.551 0.431
4 B 0.508 0.201 0.434
5 B 0.688 0.672 0.945
6 O 0.251 0.261 0.371
7 O 0.418 0.921 0.960
8 O 0.521 0.404 0.522
9 O 0.736 0.433 0.857
10 O 0.773 0.941 0.389
11 O 0.930 0.639 0.023

Mass density ... 3.38 Mg/m³
Electronic total energy ... -74.71 eV/cell
Total magnetic moment ... 7.0 μB/cell

Density functional theory data (PBE+U) for an optimized crystal structure of Li3CoB2O6.

a b c (Å): 5.159 8.926 10.943
angles (deg): 90.00 117.02 90.00
Fractional coordinates of all 48 atoms:
1 Li 0.004 0.014 0.170
2 Li 0.004 0.486 0.670
3 Li 0.040 0.668 0.879
4 Li 0.040 0.832 0.379
5 Li 0.423 0.008 0.599
6 Li 0.423 0.492 0.099
7 Li 0.577 0.508 0.901
8 Li 0.577 0.992 0.401
9 Li 0.960 0.168 0.621
10 Li 0.960 0.332 0.121
11 Li 0.996 0.514 0.330
12 Li 0.996 0.986 0.830
13 Co 0.461 0.665 0.624
14 Co 0.461 0.835 0.124
15 Co 0.539 0.165 0.876
16 Co 0.539 0.335 0.376
17 B 0.050 0.172 0.379
18 B 0.050 0.328 0.879
19 B 0.471 0.164 0.129
20 B 0.471 0.336 0.629
21 B 0.529 0.664 0.371
22 B 0.529 0.836 0.871
23 B 0.950 0.672 0.121
24 B 0.950 0.828 0.621
25 O 0.142 0.192 0.848
26 O 0.142 0.308 0.348
27 O 0.188 0.040 0.381
28 O 0.188 0.460 0.881
29 O 0.192 0.673 0.095
30 O 0.192 0.827 0.595
31 O 0.318 0.662 0.417
32 O 0.318 0.838 0.917
33 O 0.349 0.027 0.141
34 O 0.349 0.473 0.641
35 O 0.378 0.207 0.665
36 O 0.378 0.293 0.165
37 O 0.622 0.707 0.835
38 O 0.622 0.793 0.335
39 O 0.651 0.527 0.359
40 O 0.651 0.973 0.859
41 O 0.682 0.162 0.083
42 O 0.682 0.338 0.583
43 O 0.808 0.173 0.405
44 O 0.808 0.327 0.905
45 O 0.812 0.540 0.119
46 O 0.812 0.960 0.619
47 O 0.858 0.692 0.652
48 O 0.858 0.808 0.152

Mass density ... 2.92 Mg/m³
Electronic total energy ... -313.46 eV/cell
Total magnetic moment ... 16.0 μB/cell

Density functional theory data (PBE+U) for an optimized crystal structure of Li3CoB2O6.

a b c (Å): 5.018 6.389 8.017
angles (deg): 73.53 88.92 88.81
Fractional coordinates of all 24 atoms:
1 Li 0.165 0.258 0.395
2 Li 0.180 0.959 0.739
3 Li 0.322 0.097 0.073
4 Li 0.678 0.903 0.927
5 Li 0.820 0.041 0.261
6 Li 0.835 0.742 0.605
7 Co 0.351 0.444 0.729
8 Co 0.649 0.556 0.271
9 B 0.167 0.679 0.095
10 B 0.343 0.832 0.428
11 B 0.657 0.168 0.572
12 B 0.833 0.321 0.905
13 O 0.113 0.323 0.905
14 O 0.203 0.994 0.317
15 O 0.233 0.723 0.593
16 O 0.292 0.519 0.228
17 O 0.301 0.834 0.975
18 O 0.391 0.225 0.605
19 O 0.609 0.775 0.395
20 O 0.699 0.166 0.025
21 O 0.708 0.481 0.772
22 O 0.767 0.277 0.407
23 O 0.797 0.006 0.683
24 O 0.887 0.677 0.095

Mass density ... 2.66 Mg/m³
Electronic total energy ... -156.74 eV/cell
Total magnetic moment ... 7.9 μB/cell